Material: Cs3BeP
Method: DFT, PBE
State: optimized geometry

Calculated values
Energy: -1.5282 eV/atom
Magnetic moment: 0.189 μB/atom

Cell lengths 6.471, 6.471, 6.471 Å; angles 90.00, 90.00, 90.00 degrees
Sites, in units of the cell vectors:
Be 0.000 0.000 0.000
Cs 0.500 0.000 0.000
Cs 0.000 0.500 0.000
Cs 0.000 0.000 0.500
P 0.500 0.500 0.500